This record from Alexandria describes an optimized crystal structure of Ac2Be4CuSi3. The functional is PBE-GGA. Values from VASP.

The structure in Quantum ESPRESSO input format:
```
&SYSTEM
  ibrav = 0, nat = 10, ntyp = 4
/
ATOMIC_SPECIES
Ac 227.00 Ac.upf
Be 9.01 Be.upf
Cu 63.55 Cu.upf
Si 28.09 Si.upf
ATOMIC_POSITIONS angstrom
Ac 0.225 -1.085 2.992
Ac 2.836 2.493 6.711
Be 2.028 -2.040 0.539
Be 0.000 0.000 0.000
Be 0.612 0.207 6.424
Be 2.449 1.202 3.279
Cu 2.544 -0.316 5.121
Si 0.516 1.724 4.582
Si 0.875 1.085 8.758
Si 2.186 0.323 0.944
CELL_PARAMETERS angstrom
-0.060 -3.871 1.463
4.115 -0.209 -0.385
1.033 3.448 9.164
```

Properties
Electronic total energy   -4.6153 eV/atom
Calculated volume   16.86 Å³/atom
Density   6281 kg/m3
ΔE_f (raw)   -2.7 eV/f.u.